[1]
A relaxed structure of Gd2HoTm. Source: the Alexandria database, functional PBE.

The calculation puts the formation energy from the elements at 0.4 eV per formula unit. Its crystal system is cubic.

```
Gd2HoTm
1.0
-5.261 0.958 1.798
-3.621 -4.292 0.543
-1.584 -1.722 5.133
Gd Tm Ho
2 1 1
Direct
0.250 0.250 0.250 Gd
0.750 0.750 0.750 Gd
0.500 0.500 0.500 Tm
0.000 0.000 0.000 Ho
```

***

[2]
A relaxed structure of GdHoTm. Source: the Alexandria database, functional PBE.

The calculation puts the formation energy from the elements at 0.2 eV per formula unit. Its crystal system is trigonal.

```
GdHoTm
1.0
3.455 0.000 0.000
0.000 5.587 0.000
0.000 -2.793 4.838
Ho Gd Tm
1 1 1
Direct
0.667 0.333 0.667 Ho
0.165 0.000 0.000 Gd
0.168 0.667 0.333 Tm
```

***

[3]
A relaxed structure of GdHo4Tm. Source: the Alexandria database, functional PBE.

The calculation puts the formation energy from the elements at 1.5 eV per formula unit. Its crystal system is cubic.

```
GdHo4Tm
1.0
6.531 0.000 0.000
3.265 5.656 0.000
3.265 1.885 5.332
Ho Gd Tm
4 1 1
Direct
0.625 0.625 0.625 Ho
0.124 0.625 0.625 Ho
0.625 0.124 0.625 Ho
0.625 0.625 0.124 Ho
0.250 0.250 0.250 Gd
0.000 0.000 0.000 Tm
```

***

[4]
A relaxed structure of Gd2HoTm. Source: the Alexandria database, functional PBE.

The calculation puts the formation energy from the elements at 0.1 eV per formula unit. Its crystal system is tetragonal.

```
Gd2HoTm
1.0
3.545 0.000 0.000
0.000 3.545 0.000
0.000 0.000 9.987
Ho Gd Tm
1 2 1
Direct
0.500 0.500 0.000 Ho
0.000 0.000 0.749 Gd
0.000 0.000 0.251 Gd
0.500 0.500 0.500 Tm
```

***

[5]
A relaxed structure of GdYHoTm. Source: the Alexandria database, functional PBE.

The calculation puts the formation energy from the elements at 0.5 eV per formula unit. Its crystal system is cubic.

```
GdYHoTm
1.0
5.656 0.000 0.000
2.828 4.898 0.000
2.828 1.633 4.618
Tm Gd Y Ho
1 1 1 1
Direct
0.000 0.000 0.000 Tm
0.250 0.250 0.250 Gd
0.750 0.750 0.750 Y
0.500 0.500 0.500 Ho
```

***

[6]
A relaxed structure of GdHoTmZn. Source: the Alexandria database, functional PBE.

The calculation puts the formation energy from the elements at 0.1 eV per formula unit. Its crystal system is cubic.

```
GdHoTmZn
1.0
5.307 0.000 0.000
2.654 4.596 0.000
2.654 1.532 4.333
Gd Ho Zn Tm
1 1 1 1
Direct
0.250 0.250 0.250 Gd
0.750 0.750 0.750 Ho
0.000 0.000 0.000 Zn
0.500 0.500 0.500 Tm
```

***

Among the records above, which one has the highest formation energy from the elements? GdHo4Tm

***

What is the formation energy from the elements in the fourth record? 0.1 eV per formula unit

***

Which value of formation energy from the elements does entry 5 give? 0.5 eV per formula unit

***

What is the formation energy from the elements in the sixth record? 0.1 eV per formula unit